Entry 1:
Material: TaNbH3
Method: DFT, PBE-GGA
State: relaxed

Output
Volume, Å³/atom: 8.99
Uncorrected energy, Ha/atom: -0.2415

```
data_TaNbH3
_space_group_name_H-M_alt 'C 1 2/m 1'
_space_group_IT_number 12
_space_group_name_Hall '-C 2y'
_cell_length_a 10.486
_cell_length_b 3.151
_cell_length_c 5.514
_cell_angle_alpha 90.00
_cell_angle_beta 99.46
_cell_angle_gamma 90.00
loop_
_atom_site_label
_atom_site_type_symbol
_atom_site_fract_x
_atom_site_fract_y
_atom_site_fract_z
_atom_site_occupancy
Ta1 Ta 0.125 0.000 0.367 1
Nb1 Nb 0.117 0.500 0.881 1
H1 H 0.059 0.000 0.682 1
H2 H 0.185 0.500 0.562 1
H3 H 0.189 0.000 0.062 1
```



Entry 2:
Material: La6PrHoTh2
Method: DFT, PBE-GGA
State: relaxed

Output
Volume, Å³/atom: 35.61
Energy relative to the elements, eV/atom: 0.135
Uncorrected energy, Ha/atom: -0.1926

```
data_La6PrHoTh2
_space_group_name_H-M_alt 'C 1 2/c 1'
_space_group_IT_number 15
_space_group_name_Hall '-C 2yc'
_cell_length_a 9.136
_cell_length_b 15.043
_cell_length_c 10.706
_cell_angle_alpha 90.00
_cell_angle_beta 104.50
_cell_angle_gamma 90.00
loop_
_atom_site_label
_atom_site_type_symbol
_atom_site_fract_x
_atom_site_fract_y
_atom_site_fract_z
_atom_site_occupancy
La1 La 0.077 0.183 0.456 1
La2 La 0.089 0.403 0.616 1
La3 La 0.213 0.224 0.831 1
Pr1 Pr 0.000 0.009 0.750 1
Ho1 Ho 0.000 0.402 0.250 1
Th1 Th 0.224 0.040 0.045 1
```



Entry 3:
Material: Mn4TlS8
Method: DFT, PBE-GGA
State: relaxed

Output
Volume, Å³/atom: 23.26
E_form (uncorrected), eV/atom: -0.567
Uncorrected energy, Ha/atom: -0.2246

```
data_Mn4TlS8
_space_group_name_H-M_alt 'R -3 m'
_space_group_IT_number 166
_space_group_name_Hall '-R 3 2"'
_cell_length_a 6.6972
_cell_length_b 6.6972
_cell_length_c 23.3547
_cell_angle_alpha 90.00
_cell_angle_beta 90.00
_cell_angle_gamma 120.00
loop_
_atom_site_label
_atom_site_type_symbol
_atom_site_fract_x
_atom_site_fract_y
_atom_site_fract_z
_atom_site_occupancy
Mn1 Mn 0.0000 0.0000 0.0000 1
Mn2 Mn 0.0000 0.5000 0.0000 1
Tl1 Tl 0.0000 0.0000 0.5000 1
S1 S 0.0000 0.0000 0.2768 1
S2 S 0.9997 0.4999 0.2771 1
```



Entry 4:
Material: Na3HoCr2Se6
Method: DFT, PBE-GGA
State: relaxed

Output
Volume, Å³/atom: 22.66
E_form (uncorrected), eV/atom: -1.077
Uncorrected energy, Ha/atom: -0.1887

```
data_Na3HoCr2Se6
_space_group_name_H-M_alt 'C 1 2/m 1'
_space_group_IT_number 12
_space_group_name_Hall '-C 2y'
_cell_length_a 6.709
_cell_length_b 11.620
_cell_length_c 7.332
_cell_angle_alpha 90.00
_cell_angle_beta 107.91
_cell_angle_gamma 90.00
loop_
_atom_site_label
_atom_site_type_symbol
_atom_site_fract_x
_atom_site_fract_y
_atom_site_fract_z
_atom_site_occupancy
Na1 Na 0.000 0.000 0.000 1
Na2 Na 0.000 0.339 0.000 1
Ho1 Ho 0.000 0.500 0.500 1
Cr1 Cr 0.000 0.167 0.500 1
Se1 Se 0.210 0.000 0.710 1
Se2 Se 0.249 0.181 0.290 1
```



Entry 5:
Material: Ac2SnSb
Method: DFT, PBE-GGA
State: relaxed

Output
Volume, Å³/atom: 34.53
E_form (uncorrected), eV/atom: -0.773
Uncorrected energy, Ha/atom: -0.1785

```
data_Ac2SnSb
_space_group_name_H-M_alt 'P 4/m m m'
_space_group_IT_number 123
_space_group_name_Hall '-P 4 2'
_cell_length_a 4.015
_cell_length_b 4.015
_cell_length_c 8.565
_cell_angle_alpha 90.00
_cell_angle_beta 90.00
_cell_angle_gamma 90.00
loop_
_atom_site_label
_atom_site_type_symbol
_atom_site_fract_x
_atom_site_fract_y
_atom_site_fract_z
_atom_site_occupancy
Ac1 Ac 0.000 0.000 0.235 1
Sn1 Sn 0.500 0.500 0.500 1
Sb1 Sb 0.500 0.500 0.000 1
```



Entry 6:
Material: V2CrCdOs
Method: DFT, PBE-GGA
State: relaxed

Output
Volume, Å³/atom: 21.78
Energy relative to the elements, eV/atom: 2.636
Uncorrected energy, Ha/atom: -0.1972

```
data_V2CrCdOs
_space_group_name_H-M_alt 'P 4/m m m'
_space_group_IT_number 123
_space_group_name_Hall '-P 4 2'
_cell_length_a 4.743
_cell_length_b 4.743
_cell_length_c 4.840
_cell_angle_alpha 90.00
_cell_angle_beta 90.00
_cell_angle_gamma 90.00
loop_
_atom_site_label
_atom_site_type_symbol
_atom_site_fract_x
_atom_site_fract_y
_atom_site_fract_z
_atom_site_occupancy
V1 V 0.000 0.500 0.000 1
Cr1 Cr 0.000 0.000 0.500 1
Cd1 Cd 0.500 0.500 0.000 1
Os1 Os 0.500 0.500 0.500 1
```



Entry 7:
Material: Ce2CF
Method: DFT, PBE-GGA
State: relaxed

Output
Volume, Å³/atom: 17.79
E_form (uncorrected), eV/atom: -1.401
Uncorrected energy, Ha/atom: -0.2625

```
data_Ce2CF
_space_group_name_H-M_alt 'R 3 m'
_space_group_IT_number 160
_space_group_name_Hall 'R 3 -2"'
_cell_length_a 3.5307
_cell_length_b 3.5307
_cell_length_c 19.7734
_cell_angle_alpha 90.00
_cell_angle_beta 90.00
_cell_angle_gamma 120.00
loop_
_atom_site_label
_atom_site_type_symbol
_atom_site_fract_x
_atom_site_fract_y
_atom_site_fract_z
_atom_site_occupancy
Ce1 Ce 0.0000 0.0000 0.0000 1
Ce2 Ce 0.0000 0.0000 0.1892 1
C1 C 0.0000 0.0000 0.5945 1
F1 F 0.0000 0.0000 0.7639 1
```



Entry 8:
Material: Pm2Tc2Ge5
Method: DFT, PBE-GGA
State: relaxed

Output
Volume, Å³/atom: 20.20
Energy relative to the elements, eV/atom: -0.245
Uncorrected energy, Ha/atom: -0.2267

```
data_Pm2Tc2Ge5
_space_group_name_H-M_alt 'C m c e'
_space_group_IT_number 64
_space_group_name_Hall '-C 2ac 2'
_cell_length_a 14.897
_cell_length_b 6.984
_cell_length_c 6.990
_cell_angle_alpha 90.00
_cell_angle_beta 90.00
_cell_angle_gamma 90.00
loop_
_atom_site_label
_atom_site_type_symbol
_atom_site_fract_x
_atom_site_fract_y
_atom_site_fract_z
_atom_site_occupancy
Pm1 Pm 0.196 0.000 0.000 1
Tc1 Tc 0.000 0.150 0.341 1
Ge1 Ge 0.000 0.000 0.000 1
Ge2 Ge 0.113 0.136 0.632 1
```



Entry 9:
Material: NdCuGe3
Method: DFT, PBE-GGA
State: relaxed

Output
Volume, Å³/atom: 19.91
Energy relative to the elements, eV/atom: -0.345
Uncorrected energy, Ha/atom: -0.1796

```
data_NdCuGe3
_space_group_name_H-M_alt 'P 1 21/m 1'
_space_group_IT_number 11
_space_group_name_Hall '-P 2yb'
_cell_length_a 5.632
_cell_length_b 6.105
_cell_length_c 5.789
_cell_angle_alpha 90.00
_cell_angle_beta 90.34
_cell_angle_gamma 90.00
loop_
_atom_site_label
_atom_site_type_symbol
_atom_site_fract_x
_atom_site_fract_y
_atom_site_fract_z
_atom_site_occupancy
Nd1 Nd 0.120 0.250 0.263 1
Cu1 Cu 0.373 0.750 0.495 1
Ge1 Ge 0.058 0.750 0.215 1
Ge2 Ge 0.374 0.035 0.800 1
```



Entry 10:
Material: AgP2Se
Method: DFT, PBE-GGA
State: relaxed

Output
Volume, Å³/atom: 17.49
E_form (uncorrected), eV/atom: 0.640
Uncorrected energy, Ha/atom: -0.1341

```
data_AgP2Se
_space_group_name_H-M_alt 'P m m m'
_space_group_IT_number 47
_space_group_name_Hall '-P 2 2'
_cell_length_a 2.932
_cell_length_b 4.775
_cell_length_c 4.998
_cell_angle_alpha 90.00
_cell_angle_beta 90.00
_cell_angle_gamma 90.00
loop_
_atom_site_label
_atom_site_type_symbol
_atom_site_fract_x
_atom_site_fract_y
_atom_site_fract_z
_atom_site_occupancy
Ag1 Ag 0.000 0.000 0.000 1
P1 P 0.000 0.500 0.500 1
P2 P 0.500 0.000 0.500 1
Se1 Se 0.500 0.500 0.000 1
```



Entry 11:
Material: Er4HgTe2As
Method: DFT, PBE-GGA
State: relaxed

Output
Volume, Å³/atom: 27.36
E_form (uncorrected), eV/atom: -1.107
Uncorrected energy, Ha/atom: -0.1761

```
data_Er4HgTe2As
_space_group_name_H-M_alt 'P 1 2/m 1'
_space_group_IT_number 10
_space_group_name_Hall '-P 2y'
_cell_length_a 7.414
_cell_length_b 4.138
_cell_length_c 7.511
_cell_angle_alpha 90.00
_cell_angle_beta 108.21
_cell_angle_gamma 90.00
loop_
_atom_site_label
_atom_site_type_symbol
_atom_site_fract_x
_atom_site_fract_y
_atom_site_fract_z
_atom_site_occupancy
Er1 Er 0.223 0.000 0.234 1
Er2 Er 0.231 0.500 0.751 1
Hg1 Hg 0.000 0.000 0.500 1
Te1 Te 0.500 0.000 0.000 1
Te2 Te 0.500 0.500 0.500 1
As1 As 0.000 0.500 0.000 1
```



Entry 12:
Material: LaPH2Rh
Method: DFT, PBE-GGA
State: relaxed

Output
Volume, Å³/atom: 14.55
Uncorrected energy, Ha/atom: -0.2008

```
data_LaPH2Rh
_space_group_name_H-M_alt 'P 4/m m m'
_space_group_IT_number 123
_space_group_name_Hall '-P 4 2'
_cell_length_a 3.983
_cell_length_b 3.983
_cell_length_c 4.585
_cell_angle_alpha 90.00
_cell_angle_beta 90.00
_cell_angle_gamma 90.00
loop_
_atom_site_label
_atom_site_type_symbol
_atom_site_fract_x
_atom_site_fract_y
_atom_site_fract_z
_atom_site_occupancy
La1 La 0.000 0.000 0.000 1
P1 P 0.500 0.500 0.000 1
H1 H 0.000 0.500 0.500 1
Rh1 Rh 0.500 0.500 0.500 1
```